1.
Material: BaGd2Tl
Method: DFT, PBE
State: relaxed

Cell lengths 3.7290, 3.7290, 12.3174 Å; angles 81.29, 81.29, 60.00 degrees
Last column: magnetic moment on the atom in μB.
Fractional positions:
Tl (0.5000, 0.5000, 0.5000)  -0.03
Gd (0.0995, 0.0995, 0.7015)  7.20
Gd (0.9005, 0.9005, 0.2985)  7.20
Ba (0.0000, 0.0000, 0.0000)  0.08

Values from the calculation:
The energy above the most stable polymorph in this dataset comes out at 165 meV/atom. The density of states at the Fermi level comes out at 7.8 states/eV/f.u. The space group is R-3m, No. 166. The value obtained for the formation energy is 98 meV/atom.

2.
Material: CaBi2H2
Method: DFT, PBE
State: relaxed

Cell lengths 4.4298, 4.4298, 6.1660 Å; angles 68.95, 68.95, 90.00 degrees
Fractional positions:
H (0.7500, 0.2500, 0.5000)
H (0.2500, 0.7500, 0.5000)
Ca (0.0000, 0.0000, 0.0000)
Bi (0.3538, 0.3538, 0.2924)
Bi (0.6462, 0.6462, 0.7076)

Values from the calculation:
The energy above the most stable polymorph in this dataset comes out at 301 meV/atom. The density of states at the Fermi level comes out at 0.6 states/eV/f.u. The space group is I4/mmm, No. 139.

3.
Material: Th7Cd2Fe2
Method: DFT, PBE
State: relaxed

Cell lengths 3.6540, 9.8473, 9.8473 Å; angles 60.23, 79.31, 79.31 degrees
Fractional positions:
Th (0.8264, 0.0723, 0.2749)
Th (0.8417, 0.4261, 0.8906)
Th (0.5000, 0.0364, 0.9636)
Th (0.6519, 0.4452, 0.2510)
Th (0.3481, 0.7490, 0.5548)
Th (0.1736, 0.7251, 0.9277)
Th (0.1583, 0.1094, 0.5739)
Cd (0.0000, 0.7349, 0.2651)
Cd (0.5000, 0.3785, 0.6215)
Fe (0.7230, 0.8654, 0.6885)
Fe (0.2770, 0.3115, 0.1346)

Values from the calculation:
The density of states at the Fermi level comes out at 12.7 states/eV/f.u. The space group is Imm2, No. 44. The value obtained for the formation energy is -57 meV/atom.

4.
Material: ZrSi2Rh2
Method: DFT, PBE
State: relaxed

Cell lengths 3.9410, 4.2202, 9.4494 Å; angles 94.17, 90.00, 90.00 degrees
Fractional positions:
Zr (0.2500, 0.7165, 0.2556)
Zr (0.7500, 0.2835, 0.7444)
Si (0.2500, 0.7741, 0.6422)
Si (0.7500, 0.2259, 0.3578)
Si (0.2500, 0.3280, 0.9896)
Si (0.7500, 0.6720, 0.0104)
Rh (0.2500, 0.8211, 0.8888)
Rh (0.7500, 0.1789, 0.1112)
Rh (0.2500, 0.2516, 0.5018)
Rh (0.7500, 0.7484, 0.4982)

Values from the calculation:
The value obtained for the uncorrected formation energy is -0.938 eV per atom. The density of states at the Fermi level comes out at 3.2 states/eV/f.u. The space group is P2_1/m, No. 11.

5.
Material: Zn2OF2
Method: DFT, PBE
State: relaxed

Cell lengths 3.1299, 5.4251, 7.7418 Å; angles 110.45, 101.66, 90.00 degrees
Fractional positions:
Zn (0.1636, 0.9976, 0.3272)
Zn (0.8364, 0.0024, 0.6728)
Zn (0.3364, 0.5024, 0.6728)
Zn (0.6636, 0.4976, 0.3272)
O (0.2500, 0.7500, 0.5000)
O (0.7500, 0.2500, 0.5000)
F (0.0921, 0.2596, 0.1841)
F (0.9079, 0.7404, 0.8159)
F (0.4079, 0.2404, 0.8159)
F (0.5921, 0.7596, 0.1841)

Values from the calculation:
The value obtained for the uncorrected formation energy is -1.854 eV per atom. The energy above the most stable polymorph in this dataset comes out at 0 meV/atom. The density of states at the Fermi level comes out at 0.0 states/eV/f.u. The space group is P-3m1, No. 164.

6.
Material: ThHRu
Method: DFT, PBE
State: relaxed

Cell lengths 4.0781, 3.8990, 6.6946 Å; angles 106.94, 90.00, 90.00 degrees
Fractional positions:
Th (0.2813, 0.8078, 0.3771)
Th (0.7813, 0.0508, 0.8627)
H (0.5832, 0.2271, 0.2160)
H (0.0832, 0.6315, 0.0238)
Ru (0.8046, 0.3401, 0.4416)
Ru (0.3046, 0.5186, 0.7982)

Values from the calculation:
The energy above the most stable polymorph in this dataset comes out at 13 meV/atom. The density of states at the Fermi level comes out at 1.4 states/eV/f.u. The space group is Cmc2_1, No. 36.

Total magnetization / μB per atom: 3.801 0.000 0.000 0.000 0.000 0.000